1.
DFT (GGA-PBE) results for an optimized crystal structure of Pr4Sm3Mg.

Calculated values
For the formation energy from the elements, the calculation gives -0.01 eV/atom. The volume is 271.5 Å³/f.u.

Cell lengths 3.6994, 3.6994, 19.8365 Å; angles 90.00, 90.00, 90.00 degrees
Fractional coordinates of all 8 atoms:
Pr (0.0000, 0.0000, 0.3703)
Sm (0.5000, 0.5000, 0.7606)
Pr (0.0000, 0.0000, 0.8891)
Pr (0.0000, 0.0000, 0.1109)
Sm (0.5000, 0.5000, 0.2394)
Pr (0.0000, 0.0000, 0.6297)
Mg (0.5000, 0.5000, 0.0000)
Sm (0.5000, 0.5000, 0.5000)


2.
DFT (GGA-PBE) results for an optimized crystal structure of Pr7Sm2Mg2.

Calculated values
For the formation energy from the elements, the calculation gives 0.10 eV/atom. The volume is 371.2 Å³/f.u.

Cell lengths 6.2740, 7.9969, 7.9969 Å; angles 94.32, 75.30, 75.30 degrees
Fractional coordinates of all 11 atoms:
Sm (0.7993, 0.4175, 0.4175)
Mg (0.5000, 0.7637, 0.2363)
Pr (0.8149, 0.9342, 0.4208)
Pr (0.5936, 0.7953, 0.7953)
Pr (0.8149, 0.4208, 0.9342)
Sm (0.2007, 0.5825, 0.5825)
Pr (0.0000, 0.0000, 0.0000)
Pr (0.1851, 0.0658, 0.5792)
Pr (0.4064, 0.2047, 0.2047)
Pr (0.1851, 0.5792, 0.0658)
Mg (0.5000, 0.2363, 0.7637)


3.
DFT (GGA-PBE) results for an optimized crystal structure of Pr12Sm6Mg.

Calculated values
For the formation energy from the elements, the calculation gives 0.12 eV/atom. The volume is 683.2 Å³/f.u.

Cell lengths 8.8966, 8.8966, 8.8966 Å; angles 97.70, 97.70, 97.70 degrees
Fractional coordinates of all 19 atoms:
Pr (0.0006, 0.7389, 0.2610)
Pr (0.1706, 0.5817, 0.5820)
Pr (0.9994, 0.2611, 0.7390)
Pr (0.5817, 0.5820, 0.1706)
Pr (0.4183, 0.4180, 0.8294)
Pr (0.7389, 0.2610, 0.0006)
Sm (0.4064, 0.1359, 0.1370)
Pr (0.2611, 0.7390, 0.9994)
Pr (0.2610, 0.0006, 0.7389)
Pr (0.8294, 0.4183, 0.4180)
Pr (0.5820, 0.1706, 0.5817)
Mg (0.0000, 0.0000, 0.0000)
Pr (0.7390, 0.9994, 0.2611)
Sm (0.8641, 0.8630, 0.5936)
Sm (0.5936, 0.8641, 0.8630)
Pr (0.4180, 0.8294, 0.4183)
Sm (0.8630, 0.5936, 0.8641)
Sm (0.1370, 0.4064, 0.1359)
Sm (0.1359, 0.1370, 0.4064)


4.
DFT (GGA-PBE) results for an optimized crystal structure of Pr2Sm6Mg.

Calculated values
For the formation energy from the elements, the calculation gives 0.07 eV/atom. The volume is 305.0 Å³/f.u.

Cell lengths 3.6292, 3.6292, 26.7421 Å; angles 90.00, 90.00, 120.00 degrees
Fractional coordinates of all 9 atoms:
Sm (0.3333, 0.6667, 0.5644)
Sm (0.3333, 0.6667, 0.7894)
Sm (0.6667, 0.3333, 0.1028)
Sm (0.6667, 0.3333, 0.8972)
Mg (0.3333, 0.6667, 0.0000)
Pr (0.6667, 0.3333, 0.3267)
Pr (0.6667, 0.3333, 0.6733)
Sm (0.3333, 0.6667, 0.4356)
Sm (0.3333, 0.6667, 0.2106)


5.
DFT (GGA-PBE) results for an optimized crystal structure of PrSm2Mg6.

Calculated values
For the formation energy from the elements, the calculation gives -0.10 eV/atom. The volume is 244.3 Å³/f.u.

Cell lengths 3.3367, 9.1950, 9.1950 Å; angles 59.99, 90.00, 90.00 degrees
Fractional coordinates of all 9 atoms:
Mg (0.5009, 0.3349, 0.0000)
Pr (0.0000, 0.0000, 0.0000)
Mg (0.5000, 0.3348, 0.6652)
Mg (0.5000, 0.6652, 0.3348)
Mg (0.5009, 0.0000, 0.3349)
Sm (0.0000, 0.6667, 0.6667)
Sm (0.0000, 0.3333, 0.3333)
Mg (0.4991, 0.0000, 0.6651)
Mg (0.4991, 0.6651, 0.0000)


6.
DFT (GGA-PBE) results for an optimized crystal structure of Pr2Sm2Mg.

Calculated values
For the formation energy from the elements, the calculation gives 0.36 eV/atom. The volume is 179.6 Å³/f.u.

Cell lengths 4.4919, 4.4919, 9.4488 Å; angles 103.75, 103.75, 90.00 degrees
Fractional coordinates of all 5 atoms:
Pr (0.4087, 0.4087, 0.8174)
Mg (0.0000, 0.0000, 0.0000)
Sm (0.2500, 0.7500, 0.5000)
Sm (0.7500, 0.2500, 0.5000)
Pr (0.5913, 0.5913, 0.1826)


7.
DFT (GGA-PBE) results for an optimized crystal structure of Pr2SmMg8.

Calculated values
For the formation energy from the elements, the calculation gives 0.02 eV/atom. The volume is 302.0 Å³/f.u.

Cell lengths 5.2841, 7.4375, 8.9370 Å; angles 114.59, 107.20, 90.00 degrees
Fractional coordinates of all 11 atoms:
Mg (0.0000, 0.2825, 0.0000)
Mg (0.1595, 0.1595, 0.3189)
Mg (0.6436, 0.8555, 0.2871)
Mg (0.0000, 0.7175, 0.0000)
Mg (0.6436, 0.4317, 0.2871)
Mg (0.3564, 0.1445, 0.7129)
Pr (0.1968, 0.6968, 0.3935)
Sm (0.5000, 0.0000, 0.0000)
Pr (0.8032, 0.3032, 0.6065)
Mg (0.8405, 0.8405, 0.6811)
Mg (0.3564, 0.5683, 0.7129)


8.
DFT (GGA-PBE) results for an optimized crystal structure of PrSm9Mg2.

Calculated values
For the formation energy from the elements, the calculation gives 0.02 eV/atom. The volume is 386.2 Å³/f.u.

Cell lengths 5.0435, 5.0435, 15.1844 Å; angles 90.00, 90.00, 90.00 degrees
Fractional coordinates of all 12 atoms:
Sm (0.5000, 0.0000, 0.1723)
Sm (0.5000, 0.0000, 0.5000)
Mg (0.0000, 0.0000, 0.3381)
Sm (0.0000, 0.5000, 0.5000)
Sm (0.5000, 0.5000, 0.6617)
Sm (0.5000, 0.5000, 0.0000)
Sm (0.5000, 0.0000, 0.8277)
Sm (0.5000, 0.5000, 0.3383)
Sm (0.0000, 0.5000, 0.1723)
Sm (0.0000, 0.5000, 0.8277)
Mg (0.0000, 0.0000, 0.6619)
Pr (0.0000, 0.0000, 0.0000)


DOS at the Fermi energy values, unit states/eV per cell, following the record order: 10.5, 13.6, 28.8, 12.4, 5.5, 7.1, 7.6, 19.8.
Uncorrected energy values, unit eV for the cell shown, following the record order: -34.970, -44.949, -84.906, -38.851, -24.640, -18.816, -26.847, -50.237.